# 1
# RbScFe2Br8 | the Alexandria database | PBE | optimized geometry
# Theoretical density (g/cm3): 3.46
# D(E_F) (states/eV/cell): 26.75
# ΔE_f (raw) (eV per formula unit): -12.29
data_RbScFe2Br8
_space_group_name_H-M_alt 'C 1 2/m 1'
_space_group_IT_number 12
_cell_length_a 11.125
_cell_length_b 7.616
_cell_length_c 10.022
_cell_angle_alpha 90.00
_cell_angle_beta 95.73
_cell_angle_gamma 90.00
loop_
_space_group_symop_operation_xyz
'x,y,z'
'-x,-y,-z'
'-x,y,-z'
'x,-y,z'
'x+1/2,y+1/2,z'
'-x+1/2,-y+1/2,-z'
'-x+1/2,y+1/2,-z'
'x+1/2,-y+1/2,z'
loop_
_atom_site_label
_atom_site_fract_x
_atom_site_fract_y
_atom_site_fract_z
Rb1 0.000 0.000 0.000
Sc1 0.000 0.000 0.500
Fe1 0.123 0.500 0.294
Br1 0.017 0.245 0.694
Br2 0.191 0.500 0.078
Br3 0.239 0.000 0.501

---

# 2
# Rb2ScFeBr6 | the Alexandria database | PBE | optimized geometry
# Theoretical density (g/cm3): 4.07
# D(E_F) (states/eV/cell): 33.99
# ΔE_f (raw) (eV per formula unit): -12.97
data_Rb2ScFeBr6
_space_group_name_H-M_alt 'F m -3 m'
_space_group_IT_number 225
_space_group_name_Hall '-F 4 2 3'
_cell_length_a 10.707
_cell_length_b 10.707
_cell_length_c 10.707
_cell_angle_alpha 90.00
_cell_angle_beta 90.00
_cell_angle_gamma 90.00
loop_
_atom_site_label
_atom_site_fract_x
_atom_site_fract_y
_atom_site_fract_z
Rb1 0.250 0.250 0.250
Sc1 0.000 0.000 0.000
Fe1 0.000 0.000 0.500
Br1 0.000 0.000 0.251

---

# 3
# Rb2FeSeBr6 | the Alexandria database | PBE | optimized geometry
# Theoretical density (g/cm3): 3.85
# D(E_F) (states/eV/cell): 9.51
# ΔE_f (raw) (eV per formula unit): -7.91
data_Rb2FeSeBr6
_space_group_name_H-M_alt 'I 4/m m m'
_space_group_IT_number 139
_space_group_name_Hall '-I 4 2'
_cell_length_a 7.921
_cell_length_b 7.921
_cell_length_c 10.797
_cell_angle_alpha 90.00
_cell_angle_beta 90.00
_cell_angle_gamma 90.00
loop_
_atom_site_label
_atom_site_fract_x
_atom_site_fract_y
_atom_site_fract_z
Rb1 0.000 0.500 0.250
Fe1 0.000 0.000 0.000
Se1 0.000 0.000 0.500
Br1 0.000 0.000 0.258
Br2 0.222 0.222 0.000

---

# 4
# Rb2FeSiBr6 | the Alexandria database | PBE | optimized geometry
# Theoretical density (g/cm3): 3.94
# D(E_F) (states/eV/cell): 24.55
# ΔE_f (raw) (eV per formula unit): -8.88
data_Rb2FeSiBr6
_space_group_name_H-M_alt 'I 4/m m m'
_space_group_IT_number 139
_space_group_name_Hall '-I 4 2'
_cell_length_a 7.591
_cell_length_b 7.591
_cell_length_c 10.752
_cell_angle_alpha 90.00
_cell_angle_beta 90.00
_cell_angle_gamma 90.00
loop_
_atom_site_label
_atom_site_fract_x
_atom_site_fract_y
_atom_site_fract_z
Rb1 0.000 0.500 0.250
Fe1 0.000 0.000 0.000
Si1 0.000 0.000 0.500
Br1 0.000 0.000 0.246
Br2 0.245 0.245 0.000

---

# 5
# RbFeSn2Br8 | the Alexandria database | PBE | optimized geometry
# Theoretical density (g/cm3): 3.96
# D(E_F) (states/eV/cell): 9.61
# ΔE_f (raw) (eV per formula unit): -9.24
data_RbFeSn2Br8
_space_group_name_H-M_alt 'P -1'
_space_group_IT_number 2
_cell_length_a 7.203
_cell_length_b 7.487
_cell_length_c 8.404
_cell_angle_alpha 70.67
_cell_angle_beta 86.78
_cell_angle_gamma 86.05
loop_
_space_group_symop_operation_xyz
'x,y,z'
'-x,-y,-z'
loop_
_atom_site_label
_atom_site_fract_x
_atom_site_fract_y
_atom_site_fract_z
Rb1 0.000 0.000 0.000
Fe1 0.000 0.500 0.500
Sn1 0.449 0.494 0.260
Br1 0.062 0.434 0.233
Br2 0.223 0.751 0.406
Br3 0.251 0.270 0.629
Br4 0.456 0.775 0.945

---

# 6
# RbFe2SnBr8 | the Alexandria database | PBE | optimized geometry
# Theoretical density (g/cm3): 3.67
# D(E_F) (states/eV/cell): 8.36
# ΔE_f (raw) (eV per formula unit): -9.20
data_RbFe2SnBr8
_space_group_name_H-M_alt 'P -3'
_space_group_IT_number 147
_cell_length_a 6.9642
_cell_length_b 6.9642
_cell_length_c 10.2897
_cell_angle_alpha 90.00
_cell_angle_beta 90.00
_cell_angle_gamma 120.00
loop_
_space_group_symop_operation_xyz
'x,y,z'
'-x,-y,-z'
'-y,x-y,z'
'y,-x+y,-z'
'-x+y,-x,z'
'x-y,x,-z'
loop_
_atom_site_label
_atom_site_fract_x
_atom_site_fract_y
_atom_site_fract_z
Rb1 0.0000 0.0000 0.0000
Fe1 0.3333 0.6667 0.7529
Sn1 0.0000 0.0000 0.5000
Br1 0.0033 0.3384 0.6807
Br2 0.3333 0.6667 0.9816

---

Look up the ΔE_f (raw) of the third one.
-7.91 eV per formula unit